No. 1
The following is a DFT calculation (PBE) of crystalline Sm2PuPaN4 at its relaxed geometry.

**Formation energy (no corrections)**: -1.51 eV/atom
**M_tot**: 0.64 μB/atom

Unit cell a=6.118 b=3.546 c=6.135 alpha=90.00 beta=109.66 gamma=90.00
Fractional positions:
Sm 0.000 0.000 0.000
Sm 0.500 0.500 0.000
Pu 0.000 0.500 0.500
Pa 0.500 0.000 0.500
N 0.250 0.000 0.728
N 0.267 0.500 0.272
N 0.733 0.500 0.728
N 0.750 0.000 0.272



No. 2
The following is a DFT calculation (PBE) of crystalline Sm3PuPa2N6 at its relaxed geometry.

**Formation energy (no corrections)**: -1.54 eV/atom
**M_tot**: 0.44 μB/atom

Unit cell a=6.133 b=6.133 c=6.141 alpha=99.60 beta=99.60 gamma=119.98
Fractional positions:
Sm 0.000 0.000 0.000
Sm 0.334 0.666 0.000
Sm 0.666 0.334 0.000
Pu 0.500 0.500 0.500
Pa 0.167 0.833 0.500
Pa 0.833 0.167 0.500
N 0.080 0.424 0.273
N 0.231 0.231 0.727
N 0.424 0.080 0.273
N 0.576 0.920 0.727
N 0.769 0.769 0.273
N 0.920 0.576 0.727



No. 3
The following is a DFT calculation (PBE) of crystalline SmPuPa2N4 at its relaxed geometry.

**Formation energy (no corrections)**: -1.53 eV/atom
**M_tot**: 0.67 μB/atom

Unit cell a=6.085 b=3.530 c=6.135 alpha=90.00 beta=109.70 gamma=90.00
Fractional positions:
Sm 0.000 0.000 0.000
Pu 0.000 0.500 0.500
Pa 0.500 0.000 0.500
Pa 0.500 0.500 0.000
N 0.272 0.000 0.757
N 0.275 0.500 0.259
N 0.725 0.500 0.741
N 0.728 0.000 0.243



Number 1: raw total energy -9.83 eV/atom. Number 2: raw total energy -9.66 eV/atom. Number 3: raw total energy -10.45 eV/atom.